(1)
Co2Pt (PBE, relaxed); energy of formation from the pure elements = -0.07 eV per atom; crystal system = tetragonal
1.0
3.710 0.000 0.000
0.000 3.710 0.000
-1.855 -1.855 11.094
Pt Co
4 8
Cartesian
0.000 0.000 1.790
1.855 1.855 9.304
0.000 1.855 3.757
0.000 1.855 7.337
1.855 0.000 7.323
1.855 0.000 11.094
1.855 1.855 5.547
0.000 0.000 5.547
1.855 0.000 0.000
1.855 0.000 3.771
1.855 1.855 1.776
0.000 0.000 9.318

(2)
Bi3IrO2 (PBE, relaxed); crystal system = orthorhombic; final energy = -5.60 eV/atom
1.0
-0.327 -2.579 2.737
7.651 4.465 5.120
-8.634 7.680 6.204
Ir O Bi
4 8 12
Cartesian
2.152 6.165 9.969
4.218 2.206 3.883
-3.461 3.401 4.092
-5.528 7.360 10.178
-1.746 3.838 7.311
0.436 5.728 6.750
-1.845 9.562 12.692
-0.377 1.758 5.515
4.248 3.279 7.501
-5.558 6.287 6.560
-0.933 7.809 8.546
0.536 0.004 1.369
0.868 8.633 9.538
-0.806 4.157 5.121
1.279 1.480 2.849
-4.065 7.385 7.773
-7.105 5.646 8.374
5.795 3.920 5.687
2.756 2.181 6.288
-2.589 8.086 11.212
-2.178 0.934 4.524
-0.503 5.410 8.940
-3.904 3.621 6.848
2.595 5.946 7.213

(3)
HoZn2Ni2 (PBE, relaxed); energy of formation from the pure elements = -0.38 eV per atom; crystal system = tetragonal; distance to the lowest polymorph of the same formula = 0 meV/atom
1.0
-3.647 -1.396 0.044
1.238 -3.288 -1.707
0.874 -2.134 4.745
Ni Ho Zn
2 1 2
Cartesian
-0.524 -4.005 2.865
-1.012 -2.813 0.217
0.000 0.000 0.000
-1.386 -1.765 2.395
1.056 -2.711 1.519

(4)
Sr2SnBiS5 (PBE, relaxed); crystal system = orthorhombic; final energy = -4.66 eV/atom
1.0
-0.128 -4.322 0.718
6.073 0.905 -6.846
8.990 1.083 8.118
S Sr Bi Sn
10 4 2 2
Cartesian
4.371 -0.912 -4.711
6.077 -1.962 2.649
0.943 -0.054 -0.155
9.901 -1.685 4.998
2.422 -1.880 2.491
9.445 0.017 1.781
4.088 -2.519 -1.057
10.368 -2.717 -1.128
7.081 -0.402 -1.160
12.876 -0.410 -0.173
7.483 0.454 4.064
11.709 -2.220 2.101
4.319 0.018 0.876
6.216 -2.937 -3.190
2.837 -0.519 -2.617
8.053 -2.302 0.954
9.137 -1.264 7.396
9.432 -0.632 -2.125

(5)
GePtO2 (PBE, relaxed); crystal system = orthorhombic; final energy = -6.00 eV/atom
1.0
3.008 0.000 0.000
0.000 12.685 0.000
0.000 0.000 5.752
O Ge Pt
8 4 4
Cartesian
1.504 11.944 5.745
1.504 0.740 2.870
0.000 7.082 2.870
0.000 9.638 1.020
1.504 3.296 1.020
1.504 9.389 3.896
0.000 3.046 3.896
0.000 5.602 5.745
0.000 4.398 1.324
1.504 1.944 4.200
0.000 8.286 4.200
1.504 10.740 1.324
1.504 1.214 0.653
0.000 7.556 0.653
1.504 11.471 3.529
0.000 5.129 3.529

(6)
Zn2Sb2Pb (PBE, relaxed); crystal system = tetragonal; final energy = -2.76 eV/atom
1.0
8.574 0.000 0.000
0.000 8.574 0.000
0.000 0.000 3.348
Sb Zn Pb
4 4 2
Cartesian
5.584 1.296 0.000
7.278 5.584 0.000
1.296 2.991 0.000
2.991 7.278 0.000
3.052 1.235 1.674
5.522 7.339 1.674
1.235 5.522 1.674
7.339 3.052 1.674
0.000 0.000 0.000
4.287 4.287 0.000

(7)
LiSc2TlCl8 (PBE, relaxed); crystal system = monoclinic; final energy = -4.46 eV/atom
1.0
6.702 0.346 -0.005
0.463 6.440 -0.007
0.008 0.011 7.824
Cl Sc Li Tl
8 2 1 1
Cartesian
1.598 4.816 6.131
5.581 1.989 6.130
4.600 4.812 7.815
4.512 4.730 3.902
5.575 1.981 1.681
1.592 4.808 1.681
2.661 2.067 3.909
2.573 1.985 -0.004
3.589 3.402 5.928
3.584 3.396 1.883
0.000 0.000 0.000
0.004 0.005 3.912

(8)
Sm3Dy4Ag4 (PBE, relaxed); energy of formation from the pure elements = -0.11 eV per atom; crystal system = orthorhombic
1.0
-1.368 4.854 0.270
-6.170 -1.509 -4.141
-0.321 -3.194 8.585
Ag Sm Dy
4 3 4
Cartesian
-3.151 1.508 4.147
-4.708 -1.358 0.567
-1.836 2.145 -0.638
-5.702 1.200 -3.232
-3.085 -0.754 -2.070
-0.860 -0.320 1.399
-6.999 0.471 3.315
-1.296 -0.656 5.234
-4.019 -1.322 3.407
-6.563 0.806 -0.520
-3.840 1.472 1.307

(9)
Nd3AlGa4 (PBE, relaxed); energy of formation from the pure elements = -0.40 eV per atom; crystal system = orthorhombic
1.0
4.657 0.000 0.000
0.000 6.918 0.000
-2.328 -3.459 6.443
Nd Ga Al
3 4 1
Cartesian
0.000 0.000 2.314
0.000 3.459 0.000
2.328 3.459 4.129
0.000 -1.400 4.969
2.328 2.059 1.475
2.328 4.859 1.475
0.000 1.400 4.969
2.328 0.000 0.000

(10)
TaInFe2 (PBE, relaxed); energy of formation from the pure elements = 0.34 eV per atom; crystal system = trigonal
1.0
-2.690 -5.910 -5.853
0.214 -6.460 -5.886
-1.504 -7.712 -3.832
Fe In Ta
2 1 1
Cartesian
-3.955 -19.952 -15.470
-1.035 -5.221 -4.048
-2.015 -10.166 -7.882
-2.947 -14.866 -11.526

(11)
Pm3Mg5Sn2 (PBE, relaxed); energy of formation from the pure elements = -0.23 eV per atom; crystal system = orthorhombic
1.0
-4.341 3.234 3.216
-4.228 -6.072 6.563
4.449 4.608 7.535
Pm Mg Sn
6 10 4
Cartesian
-3.256 2.426 2.412
0.809 3.111 10.292
1.824 2.683 5.928
-1.085 0.809 0.804
-5.944 -0.912 11.387
-4.929 -1.340 7.022
-2.082 1.218 5.211
0.133 -1.064 10.496
-1.303 2.963 7.590
-4.253 2.835 6.819
-0.974 0.077 7.853
-2.037 0.553 12.104
-3.145 1.694 9.461
-2.817 -1.192 9.724
-2.460 3.536 11.615
-1.660 -1.765 5.699
0.297 5.209 7.491
-4.417 -3.438 9.824
-3.505 -3.760 5.213
-0.614 5.530 12.101

(12)
Mn2FeSi (PBE, relaxed); crystal system = tetragonal; final energy = -8.30 eV/atom
1.0
3.515 0.000 0.000
0.000 3.622 0.000
0.000 0.000 3.622
Mn Si Fe
2 1 1
Cartesian
0.000 1.811 1.811
0.000 0.000 0.000
1.757 1.811 0.000
1.757 0.000 1.811